Entry 1:
Compound: NiSbCl3
Source: Alexandria
Functional: PBE-GGA
Structure: optimized geometry

Results
Polymorph energy (0 for the lowest one) = 0 meV/atom
Total magnetization = 0.00 μB/cell
Calculated density = 4.7 g cm⁻³
D(E_F) = 0.73 states/eV per atom
VASP energy = -3.213 eV/atom
Formation energy without anion corrections = -60.0 kJ/mol of formula units

Structure (CIF):
```
data_NiSbCl3
_chemical_formula_sum 'Ni1 Sb1 Cl3'
_cell_length_a 4.667
_cell_length_b 4.667
_cell_length_c 4.667
_cell_angle_alpha 90.00
_cell_angle_beta 90.00
_cell_angle_gamma 90.00
_space_group_name_H-M_alt 'P 1'
_space_group_IT_number 1
loop_
_space_group_symop_operation_xyz
'x,y,z'
loop_
_atom_site_label
_atom_site_type_symbol
_atom_site_fract_x
_atom_site_fract_y
_atom_site_fract_z
_atom_site_occupancy
Ni1 Ni 0.000 0.000 0.000 1
Sb1 Sb 0.500 0.500 0.500 1
Cl1 Cl 0.000 0.000 0.500 1
Cl2 Cl 0.000 0.500 0.000 1
Cl3 Cl 0.500 0.000 0.000 1
```

Entry 2:
Compound: Tc2NiSbCl
Source: Alexandria
Functional: PBE-GGA
Structure: optimized geometry

Results
Total magnetization = 1.38 μB/cell
Calculated density = 8.1 g cm⁻³
D(E_F) = 1.33 states/eV per atom
VASP energy = -5.535 eV/atom
Formation energy without anion corrections = 463.9 kJ/mol of formula units

Structure (CIF):
```
data_Tc2NiSbCl
_chemical_formula_sum 'Tc2 Ni1 Sb1 Cl1'
_cell_length_a 4.528
_cell_length_b 4.528
_cell_length_c 4.105
_cell_angle_alpha 90.00
_cell_angle_beta 90.00
_cell_angle_gamma 90.00
_space_group_name_H-M_alt 'P 1'
_space_group_IT_number 1
loop_
_space_group_symop_operation_xyz
'x,y,z'
loop_
_atom_site_label
_atom_site_type_symbol
_atom_site_fract_x
_atom_site_fract_y
_atom_site_fract_z
_atom_site_occupancy
Tc1 Tc 0.000 0.500 0.000 1
Tc2 Tc 0.500 0.000 0.000 1
Ni1 Ni 0.000 0.000 0.500 1
Sb1 Sb 0.500 0.500 0.500 1
Cl1 Cl 0.000 0.000 0.000 1
```